(1)
Here is an optimized crystal structure of TlSn3As from the Alexandria database. Energies are from GGA-PBE.

Summary:
Calculated density   6.34 g/cm³
Energy relative to the lowest polymorph listed for this composition   0 meV per atom
ΔE_f   0.38 eV per atom
DOS at the Fermi energy   3.238 states/eV/cell

abc: 5.500 5.500 5.500
angles: 90.00 90.00 90.00
Fractional positions:
As  0.000  0.000  0.000
Tl  0.500  0.500  0.500
Sn  0.000  0.500  0.000
Sn  0.000  0.000  0.500
Sn  0.500  0.000  0.000

(2)
Here is an optimized crystal structure of TlSnAs2 from the Alexandria database. Energies are from GGA-PBE.

Summary:
Calculated density   7.62 g/cm³
Energy relative to the lowest polymorph listed for this composition   30 meV per atom
ΔE_f   0.07 eV per atom
DOS at the Fermi energy   1.821 states/eV/cell

abc: 3.996 3.996 7.796
angles: 75.15 75.15 60.00
Fractional positions:
Tl  0.500  0.500  0.501
Sn  0.668  0.668  0.997
As  0.073  0.073  0.782
As  0.260  0.260  0.220

(3)
Here is an optimized crystal structure of TlSnAs from the Alexandria database. Energies are from GGA-PBE.

Summary:
Calculated density   7.26 g/cm³
Energy relative to the lowest polymorph listed for this composition   18 meV per atom
ΔE_f   -0.05 eV per atom
DOS at the Fermi energy   1.080 states/eV/cell

abc: 4.071 4.071 6.761
angles: 107.51 107.51 60.04
Fractional positions:
Tl  0.857  0.857  0.654
Sn  0.048  0.048  0.224
As  0.306  0.306  0.998

Which value of calculated density does entry 3 give?
7.26 g/cm³

The highest calculated density belongs to which entry?
TlSnAs2